Record 1
11
Lattice="4.7841 0.0052 -1.4808 -1.0984 8.7700 -3.5172 0.2613 -1.3935 9.3077" Properties=species:S:1:pos:R:3 comment="La5Pb6 PBE relaxed" volume_a3_per_atom=33.5 e_tot_ev_per_atom=-4.784 space_group=Immm pbc="T T T"
La -0.5492 4.3850 -1.7586
La 2.5556 5.4018 -0.1926
La 0.9471 6.5142 3.0833
La 2.9999 0.8676 1.2265
La 1.3914 1.9799 4.5023
Pb -0.1170 7.5767 -0.3508
Pb 4.0640 -0.1950 4.6606
Pb 2.1131 2.2295 -1.6335
Pb 3.5162 4.1790 2.9064
Pb 1.5726 6.5457 -3.3645
Pb 0.4308 3.2028 1.4033

=====

Record 2
14
Lattice="8.5873 0.0000 0.0000 -2.8624 8.0962 0.0000 -2.8624 -4.0481 7.0115" Properties=species:S:1:pos:R:3 comment="La4Pb3 PBE relaxed" volume_a3_per_atom=34.8 e_tot_ev_per_atom=-5.038 space_group=I-43d pbc="T T T"
La 1.8302 6.9678 0.0000
La 3.2614 -1.4599 4.4830
La 0.2344 2.0240 3.5058
La -1.0323 -1.4599 2.5286
La 3.2614 2.9197 0.0000
La -2.4635 -3.4839 6.0343
La -1.0323 4.6123 0.9772
La 4.5280 2.0240 3.5058
Pb 2.1468 0.0000 1.7529
Pb -2.1468 4.5541 4.3822
Pb -2.1468 0.0000 5.2586
Pb 2.1468 4.5541 2.6293
Pb 6.4405 1.5180 0.8764
Pb 2.1468 1.5180 6.1351

=====

Record 3
8
Lattice="4.9282 0.0000 0.0000 0.0000 7.1038 -0.8030 0.0000 0.1024 7.1483" Properties=species:S:1:pos:R:3 comment="La3Pb5 PBE relaxed" volume_a3_per_atom=31.3 e_tot_ev_per_atom=-4.685 space_group=Cmmm pbc="T T T"
Pb 2.4641 5.2925 4.6603
Pb 2.4641 1.9137 1.6851
Pb 0.0000 3.5519 -0.4015
Pb 0.0000 0.0512 3.5742
Pb 0.0000 0.0000 0.0000
La 2.4641 5.5652 0.9444
La 0.0000 3.6031 3.1727
La 2.4641 1.6410 5.4009

=====

Record 4
4
Lattice="6.6138 0.0092 -0.0531 3.1760 5.8013 0.0531 -4.8597 -2.9646 3.3675" Properties=species:S:1:pos:R:3 comment="LaPb PBE relaxed" volume_a3_per_atom=32.3 e_tot_ev_per_atom=-4.889 space_group=Imma pbc="T T T"
Pb 4.9772 -0.0032 0.8020
Pb -0.0471 2.8491 2.5654
La 1.6820 -0.0410 2.5123
La 3.2482 2.8869 0.8551

=====

Record 5
6
Lattice="0.6465 3.7710 5.6230 -3.4231 5.2649 -2.6115 -2.5883 -6.2879 0.1385" Properties=species:S:1:pos:R:3 comment="LaPb2 PBE relaxed" volume_a3_per_atom=35.8 e_tot_ev_per_atom=-4.450 space_group=I4/mcm pbc="T T T"
Pb -4.7789 -1.3007 -0.5034
Pb -1.8782 -0.9254 1.0449
Pb -3.4867 3.6734 2.1051
Pb -0.5861 4.0487 3.6533
La -2.0825 6.7769 2.2586
La -0.6942 2.2590 0.7529

=====

Record 6
8
Lattice="4.6287 0.0000 -0.8628 -0.1608 4.6259 -0.8628 -0.0351 -0.0364 12.6590" Properties=species:S:1:pos:R:3 comment="LaPb PBE relaxed" volume_a3_per_atom=33.8 e_tot_ev_per_atom=-4.920 space_group=I4_1/amd pbc="T T T"
Pb 3.6765 3.8065 6.8762
Pb 0.7563 0.7830 4.0572
Pb 2.6575 0.3553 1.4095
Pb 4.1700 1.9213 9.5239
La 0.1773 2.5797 0.9510
La 3.0757 3.1845 3.6530
La 1.3571 1.4051 7.2805
La 1.8607 4.3228 9.9825